This record from Alexandria via LeMat-Bulk describes a relaxed structure of CdIrSe2. The functional is PBE-GGA.

N(E_F) (states/eV/atom): 0.3807
Formation energy from raw total energies (eV/atom): -0.16
Final energy (eV per atom): -4.347

abc: 4.849 3.720 5.506
angles: 90.00 115.51 90.00
Space group P2/m (No. 10)
Unique sites:
Cd  0.000  0.000  0.000 (multiplicity 1)
Ir  0.000  0.000  0.500 (multiplicity 1)
Se  0.370  0.500  0.660 (multiplicity 2)